[1]
A plane-wave DFT calculation with GGA-PBE was carried out for a relaxed ScTaGa2 crystal.

```
ScTaGa2
1.0
3.7335 0.0000 0.0000
1.8668 3.2333 0.0000
1.8668 1.0778 6.5009
Ta Ga Sc
1 2 1
Direct
0.0000 0.0000 0.0000
0.7444 0.7444 0.7667
0.2556 0.2556 0.2333
0.5000 0.5000 0.5000
```

Energy relative to the lowest polymorph listed for this composition in meV/atom: 229
ΔH_f (0 K) in meV per atom: -33
Symmetry: R-3m

---

[2]
A plane-wave DFT calculation with GGA-PBE was carried out for a relaxed TbGdNiPt crystal.

```
TbGdNiPt
1.0
4.9102 0.0000 0.0000
2.4551 4.2523 0.0000
2.4551 1.4174 4.0091
Tb Ni Gd Pt
1 1 1 1
Direct
0.0000 0.0000 0.0000
0.2500 0.2500 0.2500
0.5000 0.5000 0.5000
0.7500 0.7500 0.7500
```

ΔH_f (0 K) in meV per atom: -767
Symmetry: F-43m